No. 1
# PBE V3GeC, relaxed
# DFT total energy = -8.717 eV/atom
data_V3GeC
_chemical_formula_sum 'V12 Ge4 C4'
_cell_length_a 3.0580
_cell_length_b 10.0736
_cell_length_c 7.8887
_cell_angle_alpha 90.00
_cell_angle_beta 90.00
_cell_angle_gamma 90.00
_space_group_name_H-M_alt 'C m c m'
_space_group_IT_number 63
_space_group_name_Hall '-C 2c 2'
loop_
_atom_site_label
_atom_site_type_symbol
_atom_site_fract_x
_atom_site_fract_y
_atom_site_fract_z
V1 V 0.0000 0.0399 0.2500
V2 V 0.0000 0.3710 0.0469
Ge1 Ge 0.0000 0.2558 0.7500
C1 C 0.0000 0.0000 0.0000

***

No. 2
# PBE V3GeC, relaxed
# DFT total energy = -8.350 eV/atom
data_V3GeC
_chemical_formula_sum 'V12 Ge4 C4'
_cell_length_a 9.9857
_cell_length_b 4.0624
_cell_length_c 6.4086
_cell_angle_alpha 90.00
_cell_angle_beta 97.52
_cell_angle_gamma 90.00
_space_group_name_H-M_alt 'C 1 2/m 1'
_space_group_IT_number 12
loop_
_space_group_symop_operation_xyz
'x,y,z'
'-x,-y,-z'
'-x,y,-z'
'x,-y,z'
'x+1/2,y+1/2,z'
'-x+1/2,-y+1/2,-z'
'-x+1/2,y+1/2,-z'
'x+1/2,-y+1/2,z'
loop_
_atom_site_label
_atom_site_type_symbol
_atom_site_fract_x
_atom_site_fract_y
_atom_site_fract_z
V1 V 0.0404 0.0000 0.3326
V2 V 0.1542 0.0000 0.9619
V3 V 0.1967 0.5000 0.6141
Ge1 Ge 0.1179 0.5000 0.1820
C1 C 0.1556 0.0000 0.6199